Pr2MgZn4Ag3 (PBE, optimized geometry); calculated total energy = -27.2 eV/f.u.; crystal system = tetragonal; calculated formation energy = -2.394 eV/f.u.; DOS(E_F) = 0.493 states/eV per atom; symmetry = P-4m2 (115)
1.0
4.1957 0.0000 0.0000
0.0000 4.1957 0.0000
0.0000 0.0000 12.1023
Pr Mg Zn Ag
2 1 4 3
Cartesian
0.0000 2.0979 2.9616 Pr
2.0979 0.0000 9.1407 Pr
0.0000 0.0000 6.0512 Mg
0.0000 0.0000 0.0000 Zn
0.0000 2.0979 7.8185 Zn
2.0979 0.0000 4.2839 Zn
2.0979 2.0979 0.0000 Zn
0.0000 2.0979 10.4411 Ag
2.0979 0.0000 1.6612 Ag
2.0979 2.0979 6.0512 Ag